# CoAs2W | the Alexandria database | PBE | relaxed
# M_tot (μB/atom): 0.000
# Energy of formation (meV/atom): 514
# Calculated total energy (eV per atom): -6.83
# Density (Mg/m³): 8.1
# DOS at the Fermi energy (states/eV/f.u.): 4.930
# Crystal system: tetragonal
data_CoAs2W
_chemical_formula_sum 'Co4 As8 W4'
_space_group_name_H-M_alt 'I -4 2 d'
_space_group_IT_number 122
_space_group_name_Hall 'I -4 2bw'
_cell_length_a 5.5838
_cell_length_b 5.5838
_cell_length_c 10.3488
_cell_angle_alpha 90.00
_cell_angle_beta 90.00
_cell_angle_gamma 90.00
loop_
_atom_site_label
_atom_site_fract_x
_atom_site_fract_y
_atom_site_fract_z
_atom_site_occupancy
Co1 0.0000 0.0000 0.0000 1
As1 0.2228 0.2500 0.1250 1
W1 0.0000 0.0000 0.5000 1